First-principles (GGA-PBE) data for a relaxed HgMoP3 crystal, as listed in the Alexandria database.

Geometry as CIF:
```
data_HgMoP3
_chemical_formula_sum 'Hg1 Mo1 P3'
_symmetry_space_group_name_H-M 'P m -3 m'
_symmetry_Int_Tables_number 221
_symmetry_space_group_name_Hall '-P 4 2 3'
_cell_length_a 4.812
_cell_length_b 4.812
_cell_length_c 4.812
_cell_angle_alpha 90.00
_cell_angle_beta 90.00
_cell_angle_gamma 90.00
loop_
_atom_site_label
_atom_site_type_symbol
_atom_site_fract_x
_atom_site_fract_y
_atom_site_fract_z
Hg1 Hg 0.000 0.000 0.000
Mo1 Mo 0.500 0.500 0.500
P1 P 0.000 0.000 0.500
```



First-principles (GGA-PBE) data for a relaxed HgMoP crystal, as listed in the Alexandria database.

Geometry as CIF:
```
data_HgMoP
_chemical_formula_sum 'Hg4 Mo4 P4'
_symmetry_space_group_name_H-M 'F m m 2'
_symmetry_Int_Tables_number 42
_symmetry_space_group_name_Hall 'F 2 -2'
_cell_length_a 3.270
_cell_length_b 4.833
_cell_length_c 14.448
_cell_angle_alpha 90.00
_cell_angle_beta 90.00
_cell_angle_gamma 90.00
loop_
_atom_site_label
_atom_site_type_symbol
_atom_site_fract_x
_atom_site_fract_y
_atom_site_fract_z
Hg1 Hg 0.000 0.000 0.000
Mo1 Mo 0.000 0.000 0.326
P1 P 0.000 0.000 0.708
```



First-principles (GGA-PBE) data for a relaxed Hg2MoP crystal, as listed in the Alexandria database.

Geometry as CIF:
```
data_Hg2MoP
_chemical_formula_sum 'Hg6 Mo3 P3'
_symmetry_space_group_name_H-M 'R 3 m'
_symmetry_Int_Tables_number 160
_symmetry_space_group_name_Hall 'R 3 -2"'
_cell_length_a 3.1572
_cell_length_b 3.1572
_cell_length_c 27.6661
_cell_angle_alpha 90.00
_cell_angle_beta 90.00
_cell_angle_gamma 120.00
loop_
_atom_site_label
_atom_site_type_symbol
_atom_site_fract_x
_atom_site_fract_y
_atom_site_fract_z
Hg1 Hg 0.0000 0.0000 0.0000
Hg2 Hg 0.0000 0.0000 0.2346
Mo1 Mo 0.0000 0.0000 0.7528
P1 P 0.0000 0.0000 0.4753
```



First-principles (GGA-PBE) data for a relaxed HgMo2P crystal, as listed in the Alexandria database.

Geometry as CIF:
```
data_HgMo2P
_chemical_formula_sum 'Hg2 Mo4 P2'
_symmetry_space_group_name_H-M 'I m m m'
_symmetry_Int_Tables_number 71
_symmetry_space_group_name_Hall '-I 2 2'
_cell_length_a 3.387
_cell_length_b 4.827
_cell_length_c 8.171
_cell_angle_alpha 90.00
_cell_angle_beta 90.00
_cell_angle_gamma 90.00
loop_
_atom_site_label
_atom_site_type_symbol
_atom_site_fract_x
_atom_site_fract_y
_atom_site_fract_z
Hg1 Hg 0.000 0.000 0.000
Mo1 Mo 0.000 0.500 0.197
P1 P 0.000 0.000 0.500
```



no.,energy of formation (eV/atom),excess energy over the best structure of this formula in the dataset (eV per formula unit)
1,1.997,7.71
2,0.339,0.68
3,0.130,0.15
4,0.237,0.80